DFT (PBE) results for crystalline Ba4PdO2 at its relaxed geometry.

The structure in POSCAR format:
```
Ba4PdO2
1.0
-1.587 -2.088 -3.246
7.059 -1.283 0.056
-2.093 -11.154 8.199
Ba Pd O
8 2 4
Direct
0.773 0.547 0.108
0.773 0.547 0.392
0.227 0.453 0.892
0.227 0.453 0.608
0.932 0.863 0.750
0.068 0.137 0.250
0.500 0.000 0.000
0.500 0.000 0.500
0.606 0.212 0.750
0.394 0.788 0.250
0.131 0.262 0.447
0.869 0.738 0.947
0.131 0.262 0.053
0.869 0.738 0.553
```

Results
The density of states at the Fermi level comes out at 0.744 states/eV per atom. The value obtained for the electronic total energy is -4.71 eV per atom. The energy relative to the lowest polymorph listed for this composition comes out at 0 kJ/mol of formula units. The raw formation energy comes out at -10.1 eV/f.u. The calculation puts the spin magnetization at 0.0 μB per formula unit.